[1]
# Dy6Cu2Os | Alexandria via LeMat-Bulk | PBE | relaxed
# Theoretical density = 9.8 g/cm3
# Calculated formation energy = -17.5 kJ per mole of atoms
data_Dy6Cu2Os
_chemical_formula_sum 'Dy24 Cu8 Os4'
_cell_length_a 9.467
_cell_length_b 9.579
_cell_length_c 9.617
_cell_angle_alpha 90.00
_cell_angle_beta 90.00
_cell_angle_gamma 90.00
_symmetry_space_group_name_H-M 'I m m m'
_symmetry_Int_Tables_number 71
_symmetry_space_group_name_Hall '-I 2 2'
loop_
_atom_site_label
_atom_site_fract_x
_atom_site_fract_y
_atom_site_fract_z
_atom_site_occupancy
Dy1 0.000 0.246 0.174 1
Dy2 0.170 0.290 0.500 1
Dy3 0.239 0.000 0.316 1
Cu1 0.000 0.500 0.351 1
Cu2 0.123 0.000 0.000 1
Os1 0.000 0.000 0.500 1
Os2 0.000 0.500 0.000 1



[2]
# Dy2Y5Er3 | Alexandria via LeMat-Bulk | PBE | relaxed
# Theoretical density = 6.5 g/cm3
# Calculated formation energy = 24.0 kJ per mole of atoms
data_Dy2Y5Er3
_chemical_formula_sum 'Dy8 Y20 Er12'
_cell_length_a 9.787
_cell_length_b 19.884
_cell_length_c 6.711
_cell_angle_alpha 90.00
_cell_angle_beta 90.00
_cell_angle_gamma 90.00
_symmetry_space_group_name_H-M 'I b a m'
_symmetry_Int_Tables_number 72
_symmetry_space_group_name_Hall '-I 2 2c'
loop_
_atom_site_label
_atom_site_fract_x
_atom_site_fract_y
_atom_site_fract_z
_atom_site_occupancy
Dy1 0.250 0.056 0.000 1
Y1 0.000 0.000 0.250 1
Y2 0.000 0.333 0.250 1
Y3 0.170 0.209 0.000 1
Er1 0.000 0.500 0.250 1
Er2 0.186 0.125 0.500 1



[3]
# AlCdAu2 | Alexandria via LeMat-Bulk | PBE | relaxed
# Theoretical density = 11.2 g/cm3
# Calculated formation energy = -25.8 kJ per mole of atoms
data_AlCdAu2
_chemical_formula_sum 'Al2 Cd2 Au4'
_cell_length_a 3.403
_cell_length_b 5.592
_cell_length_c 8.294
_cell_angle_alpha 90.00
_cell_angle_beta 90.00
_cell_angle_gamma 90.00
_symmetry_space_group_name_H-M 'P m m n'
_symmetry_Int_Tables_number 59
loop_
_symmetry_equiv_pos_as_xyz
'x,y,z'
'-x,-y,-z'
'-x+1/2,-y+1/2,z'
'x+1/2,y+1/2,-z'
'x+1/2,-y,-z'
'-x+1/2,y,z'
'-x,y+1/2,-z'
'x,-y+1/2,z'
loop_
_atom_site_label
_atom_site_fract_x
_atom_site_fract_y
_atom_site_fract_z
_atom_site_occupancy
Al1 0.250 0.250 0.047 1
Cd1 0.250 0.750 0.467 1
Au1 0.250 0.002 0.779 1



[4]
# CaP | Alexandria via LeMat-Bulk | PBE | relaxed
# Theoretical density = 2.7 g/cm3
# Calculated formation energy = -76.8 kJ per mole of atoms
data_CaP
_chemical_formula_sum 'Ca4 P4'
_cell_length_a 7.764
_cell_length_b 4.116
_cell_length_c 5.554
_cell_angle_alpha 90.00
_cell_angle_beta 90.00
_cell_angle_gamma 90.00
_symmetry_space_group_name_H-M 'P n m a'
_symmetry_Int_Tables_number 62
_symmetry_space_group_name_Hall '-P 2ac 2n'
loop_
_atom_site_label
_atom_site_fract_x
_atom_site_fract_y
_atom_site_fract_z
_atom_site_occupancy
Ca1 0.183 0.250 0.119 1
P1 0.033 0.250 0.619 1



[5]
# NaEuInPb | Alexandria via LeMat-Bulk | PBE | relaxed
# Theoretical density = 7.0 g/cm3
# Calculated formation energy = -33.0 kJ per mole of atoms
data_NaEuInPb
_chemical_formula_sum 'Na4 Eu4 In4 Pb4'
_cell_length_a 7.774
_cell_length_b 7.774
_cell_length_c 7.774
_cell_angle_alpha 90.00
_cell_angle_beta 90.00
_cell_angle_gamma 90.00
_symmetry_space_group_name_H-M 'F -4 3 m'
_symmetry_Int_Tables_number 216
_symmetry_space_group_name_Hall 'F -4 2 3'
loop_
_atom_site_label
_atom_site_fract_x
_atom_site_fract_y
_atom_site_fract_z
_atom_site_occupancy
Na1 0.000 0.000 0.000 1
Eu1 0.000 0.000 0.500 1
In1 0.250 0.250 0.750 1
Pb1 0.250 0.250 0.250 1



[6]
# SrMo2W | Alexandria via LeMat-Bulk | PBE | relaxed
# Theoretical density = 9.5 g/cm3
# Calculated formation energy = 95.1 kJ per mole of atoms
data_SrMo2W
_chemical_formula_sum 'Sr2 Mo4 W2'
_cell_length_a 9.062
_cell_length_b 2.732
_cell_length_c 6.569
_cell_angle_alpha 90.00
_cell_angle_beta 91.27
_cell_angle_gamma 90.00
_symmetry_space_group_name_H-M 'C 1 2/m 1'
_symmetry_Int_Tables_number 12
_symmetry_space_group_name_Hall '-C 2y'
loop_
_atom_site_label
_atom_site_fract_x
_atom_site_fract_y
_atom_site_fract_z
_atom_site_occupancy
Sr1 0.000 0.000 0.000 1
Mo1 0.243 0.000 0.692 1
W1 0.000 0.500 0.500 1



[7]
# Th2TiSn | Alexandria via LeMat-Bulk | PBE | relaxed
# Theoretical density = 10.0 g/cm3
# Calculated formation energy = -18.4 kJ per mole of atoms
data_Th2TiSn
_chemical_formula_sum 'Th2 Ti1 Sn1'
_cell_length_a 4.712
_cell_length_b 4.712
_cell_length_c 4.700
_cell_angle_alpha 90.00
_cell_angle_beta 90.00
_cell_angle_gamma 90.00
_symmetry_space_group_name_H-M 'P 4/m m m'
_symmetry_Int_Tables_number 123
_symmetry_space_group_name_Hall '-P 4 2'
loop_
_atom_site_label
_atom_site_fract_x
_atom_site_fract_y
_atom_site_fract_z
_atom_site_occupancy
Th1 0.000 0.500 0.000 1
Ti1 0.000 0.000 0.500 1
Sn1 0.500 0.500 0.500 1



[8]
# Sr4Np6O19 | Alexandria via LeMat-Bulk | PBE | relaxed
# Formation energy (no corrections) = -8216 kJ/mol of formula units
# Theoretical density = 6.9 g/cm3
data_Sr4Np6O19
_chemical_formula_sum 'Sr8 Np12 O38'
_cell_length_a 9.987
_cell_length_b 9.987
_cell_length_c 9.987
_cell_angle_alpha 90.00
_cell_angle_beta 90.00
_cell_angle_gamma 90.00
_symmetry_space_group_name_H-M 'I 2 3'
_symmetry_Int_Tables_number 197
_symmetry_space_group_name_Hall 'I 2 2 3'
loop_
_atom_site_label
_atom_site_fract_x
_atom_site_fract_y
_atom_site_fract_z
_atom_site_occupancy
Sr1 0.141 0.141 0.141 1
Np1 0.000 0.172 0.500 1
O1 0.000 0.000 0.000 1
O2 0.000 0.000 0.367 1
O3 0.021 0.292 0.319 1



[9]
# CaFe3S | Alexandria via LeMat-Bulk | PBE | relaxed
# Formation energy (no corrections) = 18 kJ/mol of formula units
# Theoretical density = 5.0 g/cm3
data_CaFe3S
_chemical_formula_sum 'Ca1 Fe3 S1'
_cell_length_a 4.301
_cell_length_b 4.301
_cell_length_c 4.301
_cell_angle_alpha 90.00
_cell_angle_beta 90.00
_cell_angle_gamma 90.00
_symmetry_space_group_name_H-M 'P m -3 m'
_symmetry_Int_Tables_number 221
_symmetry_space_group_name_Hall '-P 4 2 3'
loop_
_atom_site_label
_atom_site_fract_x
_atom_site_fract_y
_atom_site_fract_z
_atom_site_occupancy
Ca1 0.000 0.000 0.000 1
Fe1 0.000 0.500 0.500 1
S1 0.500 0.500 0.500 1



[10]
# Ca2BClO3 | Alexandria via LeMat-Bulk | PBE | relaxed
# Formation energy (no corrections) = -1910 kJ/mol of formula units
# Theoretical density = 2.7 g/cm3
data_Ca2BClO3
_chemical_formula_sum 'Ca8 B4 Cl4 O12'
_cell_length_a 3.997
_cell_length_b 8.755
_cell_length_c 12.514
_cell_angle_alpha 90.00
_cell_angle_beta 100.52
_cell_angle_gamma 90.00
_symmetry_space_group_name_H-M 'P 1 21/c 1'
_symmetry_Int_Tables_number 14
_symmetry_space_group_name_Hall '-P 2ybc'
loop_
_atom_site_label
_atom_site_fract_x
_atom_site_fract_y
_atom_site_fract_z
_atom_site_occupancy
Ca1 0.169 0.121 0.117 1
Ca2 0.206 0.619 0.140 1
B1 0.212 0.133 0.844 1
Cl1 0.293 0.625 0.914 1
O1 0.021 0.140 0.927 1
O2 0.277 0.231 0.295 1
O3 0.303 0.511 0.312 1



[11]
# CoCuTc2 | Alexandria via LeMat-Bulk | PBE | relaxed
# Theoretical density = 10.2 g/cm3
# Calculated formation energy = 19.8 kJ per mole of atoms
data_CoCuTc2
_chemical_formula_sum 'Co1 Cu1 Tc2'
_cell_length_a 3.658
_cell_length_b 3.658
_cell_length_c 3.878
_cell_angle_alpha 90.00
_cell_angle_beta 90.00
_cell_angle_gamma 90.00
_symmetry_space_group_name_H-M 'P 4/m m m'
_symmetry_Int_Tables_number 123
_symmetry_space_group_name_Hall '-P 4 2'
loop_
_atom_site_label
_atom_site_fract_x
_atom_site_fract_y
_atom_site_fract_z
_atom_site_occupancy
Co1 0.000 0.000 0.000 1
Cu1 0.500 0.500 0.000 1
Tc1 0.000 0.500 0.500 1



[12]
# UTl5Se5 | Alexandria via LeMat-Bulk | PBE | relaxed
# Formation energy (no corrections) = -635 kJ/mol of formula units
# Theoretical density = 7.4 g/cm3
data_UTl5Se5
_chemical_formula_sum 'U2 Tl10 Se10'
_cell_length_a 14.456
_cell_length_b 6.097
_cell_length_c 9.097
_cell_angle_alpha 90.00
_cell_angle_beta 112.82
_cell_angle_gamma 90.00
_symmetry_space_group_name_H-M 'C 1 2/m 1'
_symmetry_Int_Tables_number 12
_symmetry_space_group_name_Hall '-C 2y'
loop_
_atom_site_label
_atom_site_fract_x
_atom_site_fract_y
_atom_site_fract_z
_atom_site_occupancy
U1 0.000 0.000 0.000 1
Tl1 0.000 0.000 0.500 1
Tl2 0.156 0.500 0.805 1
Tl3 0.199 0.500 0.304 1
Se1 0.000 0.500 0.000 1
Se2 0.139 0.000 0.302 1
Se3 0.151 0.000 0.889 1



[13]
# Tl2PRh | Alexandria via LeMat-Bulk | PBE | relaxed
# Theoretical density = 11.1 g/cm3
# Calculated formation energy = 45.2 kJ per mole of atoms
data_Tl2PRh
_chemical_formula_sum 'Tl4 P2 Rh2'
_cell_length_a 4.369
_cell_length_b 4.369
_cell_length_c 8.480
_cell_angle_alpha 90.00
_cell_angle_beta 90.00
_cell_angle_gamma 90.00
_symmetry_space_group_name_H-M 'I -4 m 2'
_symmetry_Int_Tables_number 119
_symmetry_space_group_name_Hall 'I -4 -2'
loop_
_atom_site_label
_atom_site_fract_x
_atom_site_fract_y
_atom_site_fract_z
_atom_site_occupancy
Tl1 0.000 0.000 0.000 1
Tl2 0.000 0.500 0.250 1
P1 0.000 0.500 0.750 1
Rh1 0.000 0.000 0.500 1



[14]
# LaPr2NdSm2 | Alexandria via LeMat-Bulk | PBE | relaxed
# Theoretical density = 6.8 g/cm3
# Calculated formation energy = 23.0 kJ per mole of atoms
data_LaPr2NdSm2
_chemical_formula_sum 'La2 Pr4 Nd2 Sm4'
_cell_length_a 6.854
_cell_length_b 17.771
_cell_length_c 3.491
_cell_angle_alpha 90.00
_cell_angle_beta 90.00
_cell_angle_gamma 90.00
_symmetry_space_group_name_H-M 'P n n m'
_symmetry_Int_Tables_number 58
_symmetry_space_group_name_Hall '-P 2 2n'
loop_
_atom_site_label
_atom_site_fract_x
_atom_site_fract_y
_atom_site_fract_z
_atom_site_occupancy
La1 0.000 0.000 0.000 1
Pr1 0.228 0.344 0.500 1
Nd1 0.000 0.500 0.000 1
Sm1 0.236 0.176 0.000 1



[15]
# Dy2Ga3Cu4Pt | Alexandria via LeMat-Bulk | PBE | relaxed
# Theoretical density = 9.5 g/cm3
# Calculated formation energy = -44.3 kJ per mole of atoms
data_Dy2Ga3Cu4Pt
_chemical_formula_sum 'Dy2 Ga3 Cu4 Pt1'
_cell_length_a 3.954
_cell_length_b 3.954
_cell_length_c 10.990
_cell_angle_alpha 90.00
_cell_angle_beta 90.00
_cell_angle_gamma 90.00
_symmetry_space_group_name_H-M 'P -4 m 2'
_symmetry_Int_Tables_number 115
_symmetry_space_group_name_Hall 'P -4 -2'
loop_
_atom_site_label
_atom_site_fract_x
_atom_site_fract_y
_atom_site_fract_z
_atom_site_occupancy
Dy1 0.000 0.500 0.244 1
Ga1 0.000 0.000 0.000 1
Ga2 0.000 0.500 0.633 1
Cu1 0.000 0.000 0.500 1
Cu2 0.000 0.500 0.851 1
Cu3 0.500 0.500 0.500 1
Pt1 0.500 0.500 0.000 1



[16]
# Pm4TlHg2Rh | Alexandria via LeMat-Bulk | PBE | relaxed
# Theoretical density = 10.1 g/cm3
# Calculated formation energy = -48.3 kJ per mole of atoms
data_Pm4TlHg2Rh
_chemical_formula_sum 'Pm12 Tl3 Hg6 Rh3'
_cell_length_a 5.3444
_cell_length_b 5.3444
_cell_length_c 25.6849
_cell_angle_alpha 90.00
_cell_angle_beta 90.00
_cell_angle_gamma 120.00
_symmetry_space_group_name_H-M 'R -3 m'
_symmetry_Int_Tables_number 166
_symmetry_space_group_name_Hall '-R 3 2"'
loop_
_atom_site_label
_atom_site_fract_x
_atom_site_fract_y
_atom_site_fract_z
_atom_site_occupancy
Pm1 0.0000 0.0000 0.1130 1
Pm2 0.0000 0.0000 0.3673 1
Tl1 0.0000 0.0000 0.5000 1
Hg1 0.0000 0.0000 0.2404 1
Rh1 0.0000 0.0000 0.0000 1



[17]
# CsSm2NpSe5 | Alexandria via LeMat-Bulk | PBE | relaxed
# Formation energy (no corrections) = -1297 kJ/mol of formula units
# Theoretical density = 6.1 g/cm3
data_CsSm2NpSe5
_chemical_formula_sum 'Cs2 Sm4 Np2 Se10'
_cell_length_a 5.306
_cell_length_b 7.600
_cell_length_c 14.456
_cell_angle_alpha 90.00
_cell_angle_beta 90.00
_cell_angle_gamma 90.00
_symmetry_space_group_name_H-M 'I m m m'
_symmetry_Int_Tables_number 71
_symmetry_space_group_name_Hall '-I 2 2'
loop_
_atom_site_label
_atom_site_fract_x
_atom_site_fract_y
_atom_site_fract_z
_atom_site_occupancy
Cs1 0.000 0.000 0.000 1
Sm1 0.000 0.500 0.205 1
Np1 0.000 0.000 0.500 1
Se1 0.000 0.232 0.344 1
Se2 0.000 0.500 0.000 1



[18]
# TePd6S2 | Alexandria via LeMat-Bulk | PBE | relaxed
# Formation energy (no corrections) = -129 kJ/mol of formula units
# Theoretical density = 7.5 g/cm3
data_TePd6S2
_chemical_formula_sum 'Te2 Pd12 S4'
_cell_length_a 12.542
_cell_length_b 4.143
_cell_length_c 7.921
_cell_angle_alpha 90.00
_cell_angle_beta 116.31
_cell_angle_gamma 90.00
_symmetry_space_group_name_H-M 'C 1 2/m 1'
_symmetry_Int_Tables_number 12
_symmetry_space_group_name_Hall '-C 2y'
loop_
_atom_site_label
_atom_site_fract_x
_atom_site_fract_y
_atom_site_fract_z
_atom_site_occupancy
Te1 0.000 0.000 0.000 1
Pd1 0.036 0.000 0.357 1
Pd2 0.125 0.500 0.181 1
Pd3 0.219 0.500 0.597 1
S1 0.162 0.000 0.683 1



[19]
# Th4TeAsS2 | Alexandria via LeMat-Bulk | PBE | relaxed
# Formation energy (no corrections) = -1101 kJ/mol of formula units
# Theoretical density = 9.3 g/cm3
data_Th4TeAsS2
_chemical_formula_sum 'Th8 Te2 As2 S4'
_cell_length_a 5.978
_cell_length_b 5.978
_cell_length_c 11.912
_cell_angle_alpha 90.00
_cell_angle_beta 90.00
_cell_angle_gamma 90.00
_symmetry_space_group_name_H-M 'I 4/m m m'
_symmetry_Int_Tables_number 139
_symmetry_space_group_name_Hall '-I 4 2'
loop_
_atom_site_label
_atom_site_fract_x
_atom_site_fract_y
_atom_site_fract_z
_atom_site_occupancy
Th1 0.000 0.000 0.241 1
Th2 0.000 0.500 0.000 1
Te1 0.000 0.000 0.500 1
As1 0.000 0.000 0.000 1
S1 0.000 0.500 0.250 1



[20]
# Li7PmAg5 | Alexandria via LeMat-Bulk | PBE | relaxed
# Theoretical density = 5.0 g/cm3
# Calculated formation energy = -14.4 kJ per mole of atoms
data_Li7PmAg5
_chemical_formula_sum 'Li14 Pm2 Ag10'
_cell_length_a 5.605
_cell_length_b 9.566
_cell_length_c 9.100
_cell_angle_alpha 90.00
_cell_angle_beta 90.00
_cell_angle_gamma 90.00
_symmetry_space_group_name_H-M 'I m m 2'
_symmetry_Int_Tables_number 44
_symmetry_space_group_name_Hall 'I 2 -2'
loop_
_atom_site_label
_atom_site_fract_x
_atom_site_fract_y
_atom_site_fract_z
_atom_site_occupancy
Li1 0.000 0.000 0.000 1
Li2 0.000 0.000 0.305 1
Li3 0.000 0.283 0.165 1
Li4 0.000 0.353 0.682 1
Li5 0.000 0.500 0.384 1
Pm1 0.000 0.000 0.643 1
Ag1 0.000 0.500 0.963 1
Ag2 0.248 0.258 0.418 1